No. 1
Material: FeHgF3
Method: DFT, PBE+U
State: relaxed

Cell: 4.153 4.153 4.153 Å, 90.00 90.00 90.00°
Space group Pm-3m (No. 221)
Inequivalent atoms, fractional coordinates:
1 Fe 0.000 0.000 0.000 [1 per cell]
2 Hg 0.500 0.500 0.500 [1 per cell]
3 F 0.000 0.000 0.500 [3 per cell]

Results
Calculated density = 7.26 g/cm³
E above lowest polymorph = 1.442 eV/f.u.
M_tot = 4.869 Bohr magnetons per cell

=====

No. 2
Material: FeHg2F8
Method: DFT, PBE+U
State: relaxed

Cell: 4.637 5.712 6.660 Å, 72.98 82.60 75.29°
Space group P-1 (No. 2)
Inequivalent atoms, fractional coordinates:
1 Fe 0.000 0.000 0.000 [1 per cell]
2 Hg 0.178 0.660 0.632 [2 per cell]
3 F 0.126 0.984 0.286 [2 per cell]
4 F 0.217 0.233 0.872 [2 per cell]
5 F 0.302 0.400 0.414 [2 per cell]
6 F 0.303 0.745 0.949 [2 per cell]

Results
Raw total energy = -3.56 eV per atom
Calculated density = 6.21 g/cm³
M_tot = 3.976 Bohr magnetons per cell

=====

No. 3
Material: FeHgF2
Method: DFT, PBE+U
State: relaxed

Cell: 6.777 6.777 8.136 Å, 90.00 90.00 90.00°
Space group I-42d (No. 122)
Inequivalent atoms, fractional coordinates:
1 Fe 0.000 0.000 0.000 [4 per cell]
2 Hg 0.000 0.000 0.500 [4 per cell]
3 F 0.022 0.250 0.125 [8 per cell]

Results
Calculated density = 5.23 g/cm³
E above lowest polymorph = 0.000 eV/f.u.
M_tot = 16.000 Bohr magnetons per cell

=====

No. 4
Material: Fe2HgF8
Method: DFT, PBE+U
State: relaxed

Cell: 8.392 6.424 5.570 Å, 90.00 98.95 90.00°
Space group C2/m (No. 12)
Inequivalent atoms, fractional coordinates:
1 Fe 0.183 0.000 0.451 [4 per cell]
2 Hg 0.000 0.500 0.000 [2 per cell]
3 F 0.056 0.000 0.717 [4 per cell]
4 F 0.142 0.309 0.355 [8 per cell]
5 F 0.217 0.500 0.838 [4 per cell]

Results
Calculated density = 5.20 g/cm³
E above lowest polymorph = 0.000 eV/f.u.
M_tot = 19.967 Bohr magnetons per cell

=====

No. 5
Material: FeHg2F2
Method: DFT, PBE+U
State: relaxed

Cell: 3.748 3.748 14.777 Å, 90.00 90.00 90.00°
Space group I4/mmm (No. 139)
Inequivalent atoms, fractional coordinates:
1 Fe 0.000 0.000 0.000 [2 per cell]
2 Hg 0.000 0.500 0.250 [4 per cell]
3 F 0.000 0.000 0.416 [4 per cell]

Results
Calculated density = 7.92 g/cm³
E above lowest polymorph = 4.241 eV/f.u.
M_tot = 8.232 Bohr magnetons per cell

=====

No. 6
Material: Fe4HgF12
Method: DFT, PBE+U
State: relaxed

Cell: 7.712 8.007 8.016 Å, 90.00 90.00 90.00°
Space group Immm (No. 71)
Inequivalent atoms, fractional coordinates:
1 Fe 0.250 0.250 0.250 [8 per cell]
2 Hg 0.000 0.000 0.000 [2 per cell]
3 F 0.000 0.288 0.288 [8 per cell]
4 F 0.198 0.000 0.243 [8 per cell]
5 F 0.198 0.242 0.000 [8 per cell]

Results
Raw total energy = -4.89 eV per atom
Calculated density = 4.37 g/cm³
M_tot = 36.000 Bohr magnetons per cell

=====

No. 7
Material: Fe2HgF8
Method: DFT, PBE+U
State: relaxed

Cell: 11.981 5.389 4.993 Å, 90.00 110.14 90.00°
Space group C2/m (No. 12)
Inequivalent atoms, fractional coordinates:
1 Fe 0.233 0.000 0.306 [4 per cell]
2 Hg 0.000 0.500 0.000 [2 per cell]
3 F 0.106 0.000 0.969 [4 per cell]
4 F 0.145 0.259 0.449 [8 per cell]
5 F 0.171 0.500 0.952 [4 per cell]

Results
Calculated density = 5.09 g/cm³
E above lowest polymorph = 0.682 eV/f.u.
M_tot = 20.095 Bohr magnetons per cell

=====

No. 8
Material: FeHgF3
Method: DFT, PBE+U
State: relaxed

Cell: 5.3243 5.3243 23.8120 Å, 90.00 90.00 120.00°
Space group R3 (No. 146, hexagonal axes)
Inequivalent atoms, fractional coordinates:
1 Fe 0.0000 0.0000 0.0000 [3 per cell]
2 Fe 0.0000 0.0000 0.3322 [3 per cell]
3 Hg 0.0000 0.0000 0.5036 [3 per cell]
4 Hg 0.0000 0.0000 0.8298 [3 per cell]
5 F 0.0478 0.3402 0.9536 [9 per cell]
6 F 0.0491 0.7065 0.0451 [9 per cell]

Results
Calculated density = 5.34 g/cm³
E above lowest polymorph = 0.000 eV/f.u.
M_tot = 28.537 Bohr magnetons per cell